Record 1
A plane-wave DFT calculation with PBE was carried out for a geometry-optimized MgP2Au structure.

* density of states at the Fermi level: 0.371 states/eV per atom
* energy of formation from the pure elements: -63 kJ/mol of formula units
* M_tot: 0.00 μB per cell
* calculated density: 6.00 g cm⁻³

```
data_MgP2Au
_cell_length_a 4.5273
_cell_length_b 3.7549
_cell_length_c 4.6998
_cell_angle_alpha 90.00
_cell_angle_beta 101.38
_cell_angle_gamma 90.00
_space_group_name_H-M_alt 'P 1 2/m 1'
_space_group_IT_number 10
loop_
_space_group_symop_operation_xyz
'x,y,z'
'-x,-y,-z'
'-x,y,-z'
'x,-y,z'
loop_
_atom_site_label
_atom_site_type_symbol
_atom_site_fract_x
_atom_site_fract_y
_atom_site_fract_z
Mg1 Mg 0.0000 0.0000 0.0000
P1 P 0.2087 0.5000 0.6652
Au1 Au 0.5000 0.0000 0.5000
```

***

Record 2
A plane-wave DFT calculation with PBE was carried out for a geometry-optimized MgPAu structure.

* density of states at the Fermi level: 0.008 states/eV per atom
* energy of formation from the pure elements: -86 kJ/mol of formula units
* M_tot: 0.00 μB per cell
* calculated density: 7.56 g cm⁻³

```
data_MgPAu
_cell_length_a 4.2231
_cell_length_b 7.2678
_cell_length_c 7.2175
_cell_angle_alpha 90.00
_cell_angle_beta 90.00
_cell_angle_gamma 90.00
_space_group_name_H-M_alt 'C m c 21'
_space_group_IT_number 36
loop_
_space_group_symop_operation_xyz
'x,y,z'
'-x,-y,z+1/2'
'-x,y,z'
'x,-y,z+1/2'
'x+1/2,y+1/2,z'
'-x+1/2,-y+1/2,z+1/2'
'-x+1/2,y+1/2,z'
'x+1/2,-y+1/2,z+1/2'
loop_
_atom_site_label
_atom_site_type_symbol
_atom_site_fract_x
_atom_site_fract_y
_atom_site_fract_z
Mg1 Mg 0.0000 0.0024 0.0000
P1 P 0.0000 0.3318 0.6496
Au1 Au 0.0000 0.3321 0.2974
```